The following is a GGA-PBE calculation of MgBi2O after structural relaxation, from Alexandria via LeMat-Bulk.

Computed properties:
Energy above the most stable polymorph in this dataset (meV per atom): 0
DFT total energy (eV/atom): -3.773

Unit cell a=5.6888 b=5.6888 c=14.3227 alpha=90.00 beta=90.00 gamma=90.00
With the nearest neighbours (Å) after each atom.
Space group I-42d (No. 122)
Unique sites:
Mg 0.0000 0.0000 0.0000 (multiplicity 4)  4 Bi 3.13
Bi 0.1244 0.2500 0.6250 (multiplicity 8)  2 O 2.39
O 0.0000 0.0000 0.5000 (multiplicity 4)  4 Bi 2.39

The following is a GGA-PBE calculation of Mg4Bi2O9 after structural relaxation, from Alexandria via LeMat-Bulk.

Computed properties:
DFT total energy (eV/atom): -5.766

Unit cell a=5.3631 b=5.3631 c=14.4334 alpha=90.00 beta=90.00 gamma=120.00
With the nearest neighbours (Å) after each atom.
Space group P-3c1 (No. 165)
Unique sites:
Mg 0.3333 0.6667 0.1874 (multiplicity 4)  6 O 2.09-2.19
Mg 0.3333 0.6667 0.4827 (multiplicity 4)  6 O 2.09-2.16
Bi 0.0000 0.0000 0.1409 (multiplicity 4)  6 O 2.10-2.24
O 0.0000 0.2980 0.2500 (multiplicity 6)  2 Mg 2.09, 2 Bi 2.24
O 0.0309 0.3736 0.5836 (multiplicity 12)  3 Mg 2.09-2.19, 1 Bi 2.10

The following is a GGA-PBE calculation of MgBi2O after structural relaxation, from Alexandria via LeMat-Bulk.

Computed properties:
Energy above the most stable polymorph in this dataset (meV per atom): 298
DFT total energy (eV/atom): -3.475

Unit cell a=7.0233 b=7.0233 c=7.0233 alpha=90.00 beta=90.00 gamma=90.00
With the nearest neighbours (Å) after each atom.
Space group Fm-3m (No. 225)
Unique sites:
Mg 0.0000 0.0000 0.0000 (multiplicity 4)  8 Bi 3.04
Bi 0.2500 0.2500 0.2500 (multiplicity 8)  4 Mg 3.04, 4 O 3.04
O 0.0000 0.0000 0.5000 (multiplicity 4)  8 Bi 3.04

The following is a GGA-PBE calculation of Mg3BiO6 after structural relaxation, from Alexandria via LeMat-Bulk.

Computed properties:
DFT total energy (eV/atom): -5.646

Unit cell a=5.3319 b=5.3319 c=14.4168 alpha=90.00 beta=90.00 gamma=120.00
With the nearest neighbours (Å) after each atom.
Space group R3 (No. 146, hexagonal axes)
Unique sites:
Mg 0.0000 0.0000 0.0000 (multiplicity 3)  6 O 2.07-2.18
Mg 0.0000 0.0000 0.2064 (multiplicity 3)  6 O 2.09-2.18
Mg 0.0000 0.0000 0.4980 (multiplicity 3)  6 O 2.05-2.21
Bi 0.0000 0.0000 0.7059 (multiplicity 3)  6 O 2.11-2.19
O 0.0037 0.6997 0.6029 (multiplicity 9)  3 Mg 2.07-2.21, 1 Bi 2.19
O 0.0058 0.3017 0.1032 (multiplicity 9)  3 Mg 2.05-2.18, 1 Bi 2.11

The following is a GGA-PBE calculation of MgBi2O6 after structural relaxation, from Alexandria via LeMat-Bulk.

Computed properties:
DFT total energy (eV/atom): -5.543

Unit cell a=9.2011 b=9.2011 c=4.7796 alpha=90.00 beta=90.00 gamma=120.00
With the nearest neighbours (Å) after each atom.
Space group P321 (No. 150)
Unique sites:
Mg 0.0000 0.0000 0.0000 (multiplicity 1)  6 O 2.06
Mg 0.3333 0.6667 0.4978 (multiplicity 2)  6 O 2.07-2.08
Bi 0.0000 0.3596 0.0000 (multiplicity 3)  6 O 2.14-2.19
Bi 0.0000 0.6956 0.5000 (multiplicity 3)  6 O 2.13-2.19
O 0.0913 0.2163 0.2331 (multiplicity 6)  1 Mg 2.06, 2 Bi 2.13-2.19
O 0.1163 0.5772 0.2607 (multiplicity 6)  1 Mg 2.07, 2 Bi 2.14-2.19
O 0.2232 0.4496 0.7382 (multiplicity 6)  1 Mg 2.08, 2 Bi 2.15-2.18

The following is a GGA-PBE calculation of MgBiO3 after structural relaxation, from Alexandria via LeMat-Bulk.

Computed properties:
DFT total energy (eV/atom): -5.291

Unit cell a=3.8879 b=3.8879 c=3.8879 alpha=90.00 beta=90.00 gamma=90.00
With the nearest neighbours (Å) after each atom.
Space group Pm-3m (No. 221)
Unique sites:
Mg 0.0000 0.0000 0.0000 (multiplicity 1)  6 O 1.94
Bi 0.5000 0.5000 0.5000 (multiplicity 1)  12 O 2.75
O 0.0000 0.0000 0.5000 (multiplicity 3)  2 Mg 1.94

Q: DFT total energy of number 2 (Mg4Bi2O9)?
A: -5.766 eV/atom

Q: Which value of DFT total energy does entry 3 give?
A: -3.475 eV/atom

Q: Look up the DFT total energy of the first one.
A: -3.773 eV/atom